Record 1
KPdBrCl2 | PBE | relaxed

The total magnetic moment comes out at 0.000 μB per cell. The value obtained for the density of states at the Fermi level is 0.3427 states/eV/atom. Its final energy is -3.3183 eV per atom. The calculation puts the uncorrected formation energy at -4.935 eV/f.u.

Cell: 4.970 4.970 5.253 Å, 90.00 90.00 90.00°
Fractional positions:
K  0.000  0.000  0.000
Pd  0.500  0.500  0.500
Br  0.500  0.500  0.000
Cl  0.000  0.500  0.500
Cl  0.500  0.000  0.500

=====

Record 2
Ta2ReRu | PBE | relaxed

The total magnetic moment comes out at 0.003 μB per cell. As for the formation enthalpy at 0 K: 0.1499 eV/atom. The value obtained for the density of states at the Fermi level is 1.3330 states/eV/atom. Its final energy is -11.2074 eV per atom.

Cell: 9.655 9.655 9.655 Å, 16.85 16.85 16.85°
Fractional positions:
Ta  0.000  0.000  0.000
Ta  0.242  0.242  0.242
Re  0.753  0.753  0.753
Ru  0.492  0.492  0.492

=====

Record 3
ZrAs2Rh | PBE | relaxed

The total magnetic moment comes out at 0.000 μB per cell. As for the formation enthalpy at 0 K: -0.2746 eV/atom. The value obtained for the density of states at the Fermi level is 0.6932 states/eV/atom. Its final energy is -6.5743 eV per atom.

Cell: 8.409 8.409 8.409 Å, 21.63 21.63 21.63°
Fractional positions:
Zr  0.000  0.000  0.000
As  0.241  0.241  0.241
As  0.759  0.759  0.759
Rh  0.500  0.500  0.500

=====

Record 4
BeCdP2Cl | PBE | relaxed

The total magnetic moment comes out at 0.006 μB per cell. The polymorph energy (0 for the lowest one) comes out at 0.000 eV per atom. The value obtained for the density of states at the Fermi level is 0.7151 states/eV/atom. Its final energy is -3.1170 eV per atom. The calculation puts the uncorrected formation energy at 1.723 eV/f.u.

Cell: 4.080 4.080 6.314 Å, 90.00 90.00 90.00°
Fractional positions:
Be  0.000  0.000  0.000
Cd  0.500  0.500  0.500
P  0.000  0.500  0.000
P  0.500  0.000  0.000
Cl  0.000  0.000  0.500

=====

Record 5
LuPu3O | PBE | relaxed

The total magnetic moment comes out at 17.242 μB per cell. The value obtained for the density of states at the Fermi level is 4.0499 states/eV/atom. Its final energy is -11.3011 eV per atom. The calculation puts the uncorrected formation energy at -4.030 eV/f.u.

Cell: 4.903 4.903 4.903 Å, 90.00 90.00 90.00°
Fractional positions:
Lu  0.000  0.000  0.000
Pu  0.000  0.500  0.500
Pu  0.500  0.000  0.500
Pu  0.500  0.500  0.000
O  0.500  0.500  0.500

=====

Record 6
Rb2AgW | PBE | relaxed

The total magnetic moment comes out at 5.042 μB per cell. The polymorph energy (0 for the lowest one) comes out at 0.087 eV per atom. As for the formation enthalpy at 0 K: 1.5904 eV/atom. The value obtained for the density of states at the Fermi level is 0.1601 states/eV/atom. Its final energy is -2.8445 eV per atom.

Cell: 6.115 6.115 6.115 Å, 60.00 60.00 60.00°
Fractional positions:
Rb  0.250  0.250  0.250
Rb  0.750  0.750  0.750
Ag  0.000  0.000  0.000
W  0.500  0.500  0.500

=====

Record 7
Na3Sr2PdO6 | PBE | relaxed

The total magnetic moment comes out at 1.049 μB per cell. The value obtained for the density of states at the Fermi level is 0.8252 states/eV/atom. Its final energy is -5.0872 eV per atom. The calculation puts the uncorrected formation energy at -18.783 eV/f.u.

Cell: 6.049 6.049 5.885 Å, 99.26 99.26 120.76°
Fractional positions:
Na  0.000  0.000  0.000
Na  0.357  0.643  0.000
Na  0.643  0.357  0.000
Sr  0.169  0.831  0.500
Sr  0.831  0.169  0.500
Pd  0.500  0.500  0.500
O  0.151  0.429  0.279
O  0.282  0.282  0.708
O  0.429  0.151  0.279
O  0.571  0.849  0.721
O  0.718  0.718  0.292
O  0.849  0.571  0.721

=====

Record 8
Zn4Ag3Au | PBE | relaxed

The total magnetic moment comes out at 0.000 μB per cell. The polymorph energy (0 for the lowest one) comes out at 0.000 eV per atom. As for the formation enthalpy at 0 K: -0.0849 eV/atom. The value obtained for the density of states at the Fermi level is 0.2124 states/eV/atom. Its final energy is -2.2008 eV per atom.

Cell: 8.054 8.049 4.161 Å, 75.09 74.95 29.95°
Fractional positions:
Zn  0.124  0.124  0.376
Zn  0.376  0.376  0.124
Zn  0.624  0.624  0.876
Zn  0.876  0.876  0.624
Ag  0.000  0.000  0.000
Ag  0.247  0.247  0.753
Ag  0.753  0.753  0.247
Au  0.500  0.500  0.500

=====

Record 9
Cs2Rb2TeO4 | PBE | relaxed

The total magnetic moment comes out at 1.817 μB per cell. The value obtained for the density of states at the Fermi level is 0.3536 states/eV/atom. Its final energy is -3.8793 eV per atom. The calculation puts the uncorrected formation energy at -8.297 eV/f.u.

Cell: 6.717 6.717 6.717 Å, 119.79 119.79 90.36°
Fractional positions:
Cs  0.250  0.750  0.500
Cs  0.750  0.250  0.500
Rb  0.152  0.152  0.000
Rb  0.848  0.848  0.000
Te  0.500  0.500  0.000
O  0.282  0.282  0.564
O  0.282  0.718  0.000
O  0.718  0.282  0.000
O  0.718  0.718  0.436

=====

Record 10
SrLa2SbS | PBE | relaxed

The total magnetic moment comes out at 0.683 μB per cell. The value obtained for the density of states at the Fermi level is 1.5244 states/eV/atom. Its final energy is -4.1243 eV per atom. The calculation puts the uncorrected formation energy at -0.835 eV/f.u.

Cell: 6.005 6.005 6.101 Å, 90.00 90.00 90.00°
Fractional positions:
Sr  0.000  0.000  0.000
La  0.000  0.500  0.500
La  0.500  0.000  0.500
Sb  0.000  0.000  0.500
S  0.500  0.500  0.000

=====

Record 11
TbSc3Al4 | PBE | relaxed

The total magnetic moment comes out at 0.000 μB per cell. As for the formation enthalpy at 0 K: -0.4242 eV/atom. The value obtained for the density of states at the Fermi level is 0.4837 states/eV/atom. Its final energy is -5.2486 eV per atom.

Cell: 9.828 6.486 5.129 Å, 90.00 90.00 90.00°
Fractional positions:
Tb  0.000  0.000  0.000
Tb  0.500  0.000  0.000
Sc  0.000  0.500  0.000
Sc  0.250  0.000  0.407
Sc  0.250  0.500  0.381
Sc  0.500  0.500  0.000
Sc  0.750  0.000  0.593
Sc  0.750  0.500  0.619
Al  0.000  0.267  0.500
Al  0.000  0.733  0.500
Al  0.250  0.267  0.873
Al  0.250  0.733  0.873
Al  0.500  0.267  0.500
Al  0.500  0.733  0.500
Al  0.750  0.267  0.127
Al  0.750  0.733  0.127

=====

Record 12
Ca5LaTe6 | PBE | relaxed

The total magnetic moment comes out at 0.000 μB per cell. The value obtained for the density of states at the Fermi level is 0.3218 states/eV/atom. Its final energy is -4.4313 eV per atom. The calculation puts the uncorrected formation energy at -19.390 eV/f.u.

Cell: 7.840 7.840 7.845 Å, 99.60 99.60 119.99°
Fractional positions:
Ca  0.000  0.000  0.000
Ca  0.167  0.833  0.500
Ca  0.334  0.666  0.000
Ca  0.666  0.334  0.000
Ca  0.833  0.167  0.500
La  0.500  0.500  0.500
Te  0.079  0.416  0.248
Te  0.247  0.247  0.752
Te  0.416  0.079  0.248
Te  0.584  0.921  0.752
Te  0.753  0.753  0.248
Te  0.921  0.584  0.752

=====

> final energy of number 6 (Rb2AgW)?

-2.8445 eV per atom

=====

> Which formula does entry 2 have?

Ta2ReRu